LiPm2InO5 (PBE, relaxed); DOS(E_F) = 0.00 states/eV/f.u.; crystal system = orthorhombic; magnetization = 0.0000 μB/atom; ρ = 7.2 g/cm3; E_form (uncorrected) = -23.1 eV/f.u.
1.0
3.372 0.000 0.000
-1.686 6.773 0.000
0.000 0.000 9.892
Pm Li O In
4 2 10 2
Cartesian
0.000 1.684 2.957
1.686 5.090 7.904
1.686 5.293 1.850
0.000 1.481 6.796
1.686 0.234 9.701
0.000 6.540 4.755
1.686 0.007 7.747
1.686 2.867 1.571
0.000 0.617 0.579
1.686 1.890 4.960
0.000 3.906 6.517
0.000 6.766 2.801
1.686 2.669 8.442
0.000 4.104 3.496
0.000 4.883 0.014
1.686 6.156 5.525
1.686 4.093 4.967
0.000 2.680 0.021